Entry 1:
This record from the Alexandria database describes Ba2Pa3Se9 after structural relaxation. The functional is PBE.

Values from the calculation:
ΔE_f (raw) ... -20.80 eV per formula unit
Calculated volume ... 1892.64 Å³ per cell
Total DFT energy (no corrections) ... -6.035 eV/atom

a b c (Å): 19.8413 8.7436 12.7439
angles (deg): 90.00 121.12 90.00
Last column: nearest neighbours and their distance in Å.
Space group C2 (No. 5)
Symmetry-distinct sites (fractional):
Ba: 0.1233 0.0000 0.4898  8 Se 3.30-3.65
Ba: 0.1383 0.1992 0.9665  6 Se 3.27-3.65
Pa: 0.0752 0.7187 0.7502  6 Se 2.71-2.86
Pa: 0.1005 0.4270 0.2528  6 Se 2.73-2.85
Pa: 0.1985 0.8604 0.2382  6 Se 2.81-2.86
Se: 0.0000 0.4402 0.0000  2 Pa 2.78
Se: 0.0000 0.6979 0.5000  2 Pa 2.74
Se: 0.0286 0.4094 0.7242  2 Pa 2.73-2.82
Se: 0.0708 0.0211 0.6992  1 Pa 2.71
Se: 0.0726 0.7444 0.2633  3 Pa 2.85-2.86
Se: 0.0977 0.1145 0.1970  2 Pa 2.82-2.85
Se: 0.1661 0.8169 0.9969  2 Pa 2.82-2.83
Se: 0.2062 0.6013 0.7583  2 Pa 2.75-2.81
Se: 0.2068 0.3606 0.5048  2 Pa 2.81-2.85
Se: 0.2222 0.5407 0.2315  2 Pa 2.75-2.84


Entry 2:
This record from the Alexandria database describes Ac5Zn2Cd after structural relaxation. The functional is PBE.

Values from the calculation:
Calculated volume ... 1114.85 Å³ per cell
Total DFT energy (no corrections) ... -3.173 eV/atom

a b c (Å): 9.0263 9.0263 13.6836
angles (deg): 90.00 90.00 90.00
Last column: nearest neighbours and their distance in Å.
Space group I4/mcm (No. 140)
Symmetry-distinct sites (fractional):
Ac: 0.0000 0.0000 0.0000  2 Cd 3.42, 4 Zn 3.48
Ac: 0.1533 0.3467 0.1443  3 Zn 3.28-3.31
Zn: 0.1412 0.3588 0.5000  8 Ac 3.28-3.48, 1 Zn 3.60
Cd: 0.0000 0.0000 0.2500  10 Ac 3.42-3.71


Entry 3:
This record from the Alexandria database describes BeBPt3 after structural relaxation. The functional is PBE.

Values from the calculation:
Calculated volume ... 128.20 Å³ per cell
Total DFT energy (no corrections) ... -6.053 eV/atom

a b c (Å): 5.9904 3.5029 6.4019
angles (deg): 90.00 107.39 90.00
Last column: nearest neighbours and their distance in Å.
Space group P2_1/m (No. 11)
Symmetry-distinct sites (fractional):
Be: 0.1386 0.2500 0.2808  5 Pt 2.27-2.50
B: 0.3374 0.7500 0.8593  6 Pt 2.11-2.26
Pt: 0.1406 0.2500 0.9193  2 B 2.21, 1 Be 2.32
Pt: 0.1908 0.7500 0.5153  1 B 2.11, 2 Be 2.27
Pt: 0.4640 0.7500 0.2201  3 B 2.21-2.26


Entry 4:
This record from the Alexandria database describes SrSmDy4Se8 after structural relaxation. The functional is PBE.

Values from the calculation:
ΔE_f (raw) ... -25.11 eV per formula unit
Calculated volume ... 1329.96 Å³ per cell
Total DFT energy (no corrections) ... -5.557 eV/atom

a b c (Å): 8.5349 8.5349 21.0818
angles (deg): 90.00 90.00 120.00
Last column: nearest neighbours and their distance in Å.
Space group R3m (No. 160, hexagonal axes)
Symmetry-distinct sites (fractional):
Sr: 0.0000 0.0000 0.0000  4 Se 2.90
Sm: 0.0000 0.0000 0.6282  6 Se 2.89-3.01
Dy: 0.0000 0.0000 0.2517  4 Se 2.76-2.79
Dy: 0.1690 0.3380 0.4590  6 Se 2.83-2.96
Se: 0.0000 0.0000 0.3840  4 Dy 2.79-2.96
Se: 0.0000 0.0000 0.8622  3 Dy 2.84, 1 Sr 2.90
Se: 0.0325 0.5163 0.3828  2 Dy 2.83, 1 Sm 2.89, 1 Sr 2.90
Se: 0.1750 0.3499 0.2055  3 Dy 2.76-2.95, 1 Sm 3.01


Entry 5:
This record from the Alexandria database describes Li2DyTl after structural relaxation. The functional is PBE.

Values from the calculation:
Calculated volume ... 321.17 Å³ per cell
Total DFT energy (no corrections) ... -2.922 eV/atom

a b c (Å): 6.8482 6.8482 6.8482
angles (deg): 90.00 90.00 90.00
Last column: nearest neighbours and their distance in Å.
Space group Fm-3m (No. 225)
Symmetry-distinct sites (fractional):
Li: 0.2500 0.2500 0.2500  4 Tl 2.97, 4 Dy 2.97
Dy: 0.0000 0.0000 0.0000  8 Li 2.97
Tl: 0.0000 0.0000 0.5000  8 Li 2.97


Entry 6:
This record from the Alexandria database describes YRe after structural relaxation. The functional is PBE.

Values from the calculation:
Calculated volume ... 89.86 Å³ per cell
Total DFT energy (no corrections) ... -9.428 eV/atom

a b c (Å): 3.1653 3.1653 8.9689
angles (deg): 90.00 90.00 90.00
Last column: nearest neighbours and their distance in Å.
Space group P4/nmm (No. 129, origin choice 2)
Symmetry-distinct sites (fractional):
Y: 0.2500 0.2500 0.1889  4 Re 3.07, 4 Y 3.17
Re: 0.2500 0.2500 0.5768  4 Re 2.63


Entry 7:
This record from the Alexandria database describes Tb4AsC after structural relaxation. The functional is PBE.

Values from the calculation:
Calculated volume ... 599.51 Å³ per cell
Total DFT energy (no corrections) ... -5.944 eV/atom

a b c (Å): 8.0897 14.0358 6.3829
angles (deg): 90.00 124.19 90.00
Last column: nearest neighbours and their distance in Å.
Space group C2/c (No. 15)
Symmetry-distinct sites (fractional):
Tb: 0.1519 0.1999 0.1653  1 C 2.47
Tb: 0.2284 0.0486 0.7153  2 C 2.48-2.55
As: 0.0000 0.3922 0.7500  6 Tb 2.86-3.02
C: 0.0000 0.0659 0.2500  6 Tb 2.47-2.55


Entry 8:
This record from the Alexandria database describes Na2SbO after structural relaxation. The functional is PBE.

Values from the calculation:
ΔE_f (raw) ... -2.47 eV per formula unit
Calculated volume ... 356.23 Å³ per cell
Total DFT energy (no corrections) ... -3.548 eV/atom

a b c (Å): 8.7859 8.7859 4.6149
angles (deg): 90.00 90.00 90.00
Last column: nearest neighbours and their distance in Å.
Space group I-42d (No. 122)
Symmetry-distinct sites (fractional):
Na: 0.1057 0.2500 0.1250  2 O 2.45
Sb: 0.0000 0.0000 0.5000  2 O 2.31
O: 0.0000 0.0000 0.0000  2 Sb 2.31, 4 Na 2.45


Entry 9:
This record from the Alexandria database describes Tm4Ni2Ag after structural relaxation. The functional is PBE.

Values from the calculation:
Calculated volume ... 623.03 Å³ per cell
Total DFT energy (no corrections) ... -4.928 eV/atom

a b c (Å): 8.2011 14.1269 6.7481
angles (deg): 90.00 127.16 90.00
Last column: nearest neighbours and their distance in Å.
Space group Cc (No. 9)
Symmetry-distinct sites (fractional):
Tm: 0.0000 0.0263 0.0000  3 Ni 2.69-2.89, 1 Ag 2.95
Tm: 0.0189 0.4677 0.8535  3 Ni 2.76-2.86, 1 Ag 2.97
Tm: 0.0725 0.2616 0.1526  3 Ni 2.71-2.89
Tm: 0.2638 0.1789 0.8415  3 Ni 2.71-2.84, 1 Ag 2.89
Ni: 0.2630 0.0956 0.4623  7 Tm 2.69-2.89
Ni: 0.3632 0.3438 0.1363  5 Tm 2.71-2.86, 1 Ag 2.76
Ag: 0.2585 0.3664 0.6661  1 Ni 2.76, 3 Tm 2.89-2.97


Entry 10:
This record from the Alexandria database describes AcY4Tm after structural relaxation. The functional is PBE.

Values from the calculation:
Calculated volume ... 210.36 Å³ per cell
Total DFT energy (no corrections) ... -5.519 eV/atom

a b c (Å): 3.4994 5.9239 10.1478
angles (deg): 90.00 90.00 90.00
Last column: nearest neighbours and their distance in Å.
Space group Pmmm (No. 47)
Symmetry-distinct sites (fractional):
Ac: 0.0000 0.0000 0.0000  2 Ac 3.50, 8 Y 3.59-3.71
Y: 0.0000 0.5000 0.2003  6 Y 3.50-3.66, 2 Tm 3.51, 2 Ac 3.59
Y: 0.5000 0.0000 0.3224  2 Tm 3.47, 7 Y 3.50-3.66, 2 Ac 3.71
Tm: 0.5000 0.5000 0.5000  8 Y 3.47-3.51, 2 Tm 3.50


Entry 11:
This record from the Alexandria database describes YIr2Rh after structural relaxation. The functional is PBE.

Values from the calculation:
Calculated volume ... 67.74 Å³ per cell
Total DFT energy (no corrections) ... -7.990 eV/atom

a b c (Å): 2.9293 2.9293 7.8944
angles (deg): 90.00 90.00 90.00
Last column: nearest neighbours and their distance in Å.
Space group P4/mmm (No. 123)
Symmetry-distinct sites (fractional):
Y: 0.0000 0.0000 0.0000  4 Y 2.93, 8 Ir 3.01
Ir: 0.5000 0.5000 0.2769  4 Rh 2.72, 4 Ir 2.93, 4 Y 3.01
Rh: 0.0000 0.0000 0.5000  8 Ir 2.72, 4 Rh 2.93


Entry 12:
This record from the Alexandria database describes YTaGa after structural relaxation. The functional is PBE.

Values from the calculation:
Calculated volume ... 131.67 Å³ per cell
Total DFT energy (no corrections) ... -7.484 eV/atom

a b c (Å): 4.0559 4.0559 8.0043
angles (deg): 90.00 90.00 90.00
Last column: nearest neighbours and their distance in Å.
Space group P4/nmm (No. 129, origin choice 2)
Symmetry-distinct sites (fractional):
Y: 0.2500 0.2500 0.1601  5 Ga 2.96-3.30
Ta: 0.2500 0.7500 0.5000  4 Ga 2.83, 4 Ta 2.87
Ga: 0.2500 0.2500 0.7475  4 Ta 2.83, 4 Y 2.96


Entry 13:
This record from the Alexandria database describes MgB2Pd5Pt2 after structural relaxation. The functional is PBE.

Values from the calculation:
Calculated volume ... 279.36 Å³ per cell
Total DFT energy (no corrections) ... -5.546 eV/atom

a b c (Å): 9.9385 9.9385 2.8282
angles (deg): 90.00 90.00 90.00
Last column: nearest neighbours and their distance in Å.
Space group P4/mbm (No. 127)
Symmetry-distinct sites (fractional):
Mg: 0.0000 0.0000 0.0000  8 Pd 2.68, 2 Mg 2.83
B: 0.1313 0.3687 0.0000  1 Pt 2.05, 4 Pd 2.27
Pd: 0.0000 0.5000 0.5000  4 B 2.32
Pd: 0.0199 0.2288 0.5000  2 B 2.27
Pt: 0.2231 0.7231 0.0000  1 B 2.05


Entry 14:
This record from the Alexandria database describes LiY2Rh after structural relaxation. The functional is PBE.

Values from the calculation:
Calculated volume ... 225.48 Å³ per cell
Total DFT energy (no corrections) ... -5.858 eV/atom

a b c (Å): 6.8990 3.9382 8.5862
angles (deg): 90.00 104.86 90.00
Last column: nearest neighbours and their distance in Å.
Space group C2/m (No. 12)
Symmetry-distinct sites (fractional):
Li: 0.0000 0.0000 0.0000  6 Y 3.46-3.49
Y: 0.2266 0.0000 0.6838  3 Rh 2.75
Rh: 0.0000 0.5000 0.5000  6 Y 2.75


Entry 15:
This record from the Alexandria database describes Sr2CrAs3Pt4 after structural relaxation. The functional is PBE.

Values from the calculation:
Calculated volume ... 203.12 Å³ per cell
Total DFT energy (no corrections) ... -5.748 eV/atom

a b c (Å): 4.4302 4.4302 10.3491
angles (deg): 90.00 90.00 90.00
Last column: nearest neighbours and their distance in Å.
Space group P-4m2 (No. 115)
Symmetry-distinct sites (fractional):
Sr: 0.0000 0.5000 0.2464  6 As 3.36-3.43, 8 Pt 3.38, 2 Cr 3.43
Cr: 0.0000 0.0000 0.5000  4 Pt 2.60
As: 0.0000 0.5000 0.8718  5 Pt 2.49-2.58
As: 0.5000 0.5000 0.5000  4 Pt 2.60
Pt: 0.0000 0.0000 0.0000  4 As 2.58
Pt: 0.0000 0.5000 0.6309  3 As 2.49-2.60, 2 Cr 2.60
Pt: 0.5000 0.5000 0.0000  4 As 2.58


Entry 16:
This record from the Alexandria database describes SrZn2W after structural relaxation. The functional is PBE.

Values from the calculation:
Calculated volume ... 341.22 Å³ per cell
Total DFT energy (no corrections) ... -3.273 eV/atom

a b c (Å): 6.9878 6.9878 6.9878
angles (deg): 90.00 90.00 90.00
Last column: nearest neighbours and their distance in Å.
Space group F-43m (No. 216)
Symmetry-distinct sites (fractional):
Sr: 0.0000 0.0000 0.0000  4 W 3.03, 4 Zn 3.03
Zn: 0.0000 0.0000 0.5000  4 W 3.03, 4 Zn 3.03
Zn: 0.2500 0.2500 0.7500  4 Sr 3.03, 4 Zn 3.03
W: 0.2500 0.2500 0.2500  4 Sr 3.03, 4 Zn 3.03


Entry 17:
This record from the Alexandria database describes Tb8PmNd6 after structural relaxation. The functional is PBE.

Values from the calculation:
Calculated volume ... 1526.66 Å³ per cell
Total DFT energy (no corrections) ... -4.573 eV/atom

a b c (Å): 9.1763 9.1763 20.9351
angles (deg): 90.00 90.00 120.00
Last column: nearest neighbours and their distance in Å.
Space group R-3 (No. 148, hexagonal axes)
Symmetry-distinct sites (fractional):
Tb: 0.0000 0.0000 0.0767  4 Tb 3.21-3.46, 3 Nd 3.45
Tb: 0.0803 0.5253 0.3075  3 Nd 3.42-3.77, 5 Tb 3.46-3.49, 1 Pm 3.57
Pm: 0.0000 0.0000 0.5000  6 Nd 3.50, 6 Tb 3.57
Nd: 0.0600 0.8129 0.2096  4 Tb 3.42-3.77, 1 Pm 3.50, 2 Nd 3.55


Entry 18:
This record from the Alexandria database describes PmNdTl after structural relaxation. The functional is PBE.

Values from the calculation:
Calculated volume ... 94.86 Å³ per cell
Total DFT energy (no corrections) ... -4.127 eV/atom

a b c (Å): 5.3650 5.3650 3.8055
angles (deg): 90.00 90.00 120.00
Last column: nearest neighbours and their distance in Å.
Space group P3m1 (No. 156)
Symmetry-distinct sites (fractional):
Pm: 0.0000 0.0000 0.0000  3 Tl 3.22, 3 Nd 3.54
Nd: 0.6667 0.3333 0.4485  3 Tl 3.33, 3 Pm 3.54
Tl: 0.3333 0.6667 0.7672  3 Pm 3.22, 3 Nd 3.33


Entry 19:
This record from the Alexandria database describes Pr3PuTh4S8 after structural relaxation. The functional is PBE.

Values from the calculation:
ΔE_f (raw) ... -30.36 eV per formula unit
Calculated volume ... 1130.35 Å³ per cell
Total DFT energy (no corrections) ... -7.608 eV/atom

a b c (Å): 8.0741 8.0741 20.0216
angles (deg): 90.00 90.00 120.00
Last column: nearest neighbours and their distance in Å.
Space group R-3m (No. 166, hexagonal axes)
Symmetry-distinct sites (fractional):
Pr: 0.0000 0.5000 0.0000  6 S 2.88
Pu: 0.0000 0.0000 0.0000  6 S 2.83
Th: 0.0000 0.0000 0.5000  6 S 2.90
Th: 0.0000 0.5000 0.5000  6 S 2.85-2.86
S: 0.0000 0.0000 0.2490  3 Th 2.85, 3 Pr 2.88
S: 0.0052 0.5026 0.7497  1 Pu 2.83, 3 Th 2.86-2.90, 2 Pr 2.88


Entry 20:
This record from the Alexandria database describes TlZnP2 after structural relaxation. The functional is PBE.

Values from the calculation:
Calculated volume ... 77.20 Å³ per cell
Total DFT energy (no corrections) ... -3.006 eV/atom

a b c (Å): 3.6404 4.4753 4.7386
angles (deg): 90.00 90.00 90.00
Last column: nearest neighbours and their distance in Å.
Space group Pmmm (No. 47)
Symmetry-distinct sites (fractional):
Tl: 0.0000 0.0000 0.0000  4 P 2.88, 4 Zn 2.99
Zn: 0.5000 0.0000 0.5000  4 P 2.88, 4 Tl 2.99
P: 0.0000 0.5000 0.5000  4 Zn 2.88, 4 P 2.99
P: 0.5000 0.5000 0.0000  4 Tl 2.88, 4 P 2.99


Entry 21:
This record from the Alexandria database describes HfMnPd2Cl after structural relaxation. The functional is PBE.

Values from the calculation:
ΔE_f (raw) ... 2.09 eV per formula unit
Calculated volume ... 96.62 Å³ per cell
Total DFT energy (no corrections) ... -5.853 eV/atom

a b c (Å): 4.5479 4.5479 4.6715
angles (deg): 90.00 90.00 90.00
Last column: nearest neighbours and their distance in Å.
Space group P4/mmm (No. 123)
Symmetry-distinct sites (fractional):
Hf: 0.0000 0.0000 0.0000  2 Cl 2.34
Mn: 0.5000 0.5000 0.0000  4 Hf 3.22, 8 Pd 3.26
Pd: 0.0000 0.5000 0.5000  2 Cl 2.27
Cl: 0.0000 0.0000 0.5000  4 Pd 2.27, 2 Hf 2.34


Entry 22:
This record from the Alexandria database describes Sr2Al3GaPt4 after structural relaxation. The functional is PBE.

Values from the calculation:
Calculated volume ... 201.35 Å³ per cell
Total DFT energy (no corrections) ... -5.156 eV/atom

a b c (Å): 4.4537 4.4537 10.1509
angles (deg): 90.00 90.00 90.00
Last column: nearest neighbours and their distance in Å.
Space group P-4m2 (No. 115)
Symmetry-distinct sites (fractional):
Sr: 0.0000 0.5000 0.2461  8 Pt 3.35-3.39, 7 Al 3.40-3.72, 2 Ga 3.41
Al: 0.0000 0.5000 0.8796  5 Pt 2.53-2.54
Al: 0.5000 0.5000 0.5000  4 Pt 2.59
Ga: 0.0000 0.0000 0.5000  4 Pt 2.59
Pt: 0.0000 0.0000 0.0000  4 Al 2.54
Pt: 0.0000 0.5000 0.6299  3 Al 2.53-2.59, 2 Ga 2.59
Pt: 0.5000 0.5000 0.0000  4 Al 2.54


Entry 23:
This record from the Alexandria database describes InRe2Mo after structural relaxation. The functional is PBE.

Values from the calculation:
Calculated volume ... 132.83 Å³ per cell
Total DFT energy (no corrections) ... -9.232 eV/atom

a b c (Å): 9.6074 3.0206 4.7835
angles (deg): 90.00 106.89 90.00
Last column: nearest neighbours and their distance in Å.
Space group C2/m (No. 12)
Symmetry-distinct sites (fractional):
In: 0.0000 0.0000 0.0000  4 Mo 2.83, 6 Re 2.92-2.94, 2 In 3.02
Re: 0.2329 0.0000 0.7196  2 Mo 2.65, 2 Re 2.68, 3 In 2.92-2.94
Mo: 0.0000 0.5000 0.5000  4 Re 2.65, 4 In 2.83